A plane-wave DFT calculation with PBE was carried out for an optimized crystal structure of LaAgPt3.

The structure in extended XYZ format:
```
5
Lattice="5.2512 0.0000 0.0000 0.0000 5.2512 0.0000 0.0000 0.0000 5.2512" Properties=species:S:1:pos:R:3 pbc="T T T"
La 0.0000 0.0000 0.0000
Ag 2.6256 2.6256 2.6256
Pt 0.0000 0.0000 2.6256
Pt 0.0000 2.6256 0.0000
Pt 2.6256 0.0000 0.0000
```

- Energy above the lowest structure with this stoichiometry: 747 meV/atom
- Final energy: -21.093 eV per formula unit
- Energy of formation: 4.8 eV per formula unit

---

A plane-wave DFT calculation with PBE was carried out for an optimized crystal structure of La3Ag2Pt.

The structure in extended XYZ format:
```
12
Lattice="7.3081 -3.0895 0.0000 7.3081 3.0895 0.0000 -2.4106 0.0000 8.0338" Properties=species:S:1:pos:R:3 pbc="T T T"
La 6.7055 -3.0867 2.0085
La 5.5001 3.0867 6.0254
La 2.9441 0.0020 7.4435
La 4.1494 -0.0020 3.4266
La 8.0562 0.0020 4.6072
La 9.2615 -0.0020 0.5903
Ag 2.3726 -0.0022 0.7087
Ag 1.1673 0.0022 4.7256
Ag 11.0383 -0.0022 3.3083
Ag 9.8330 0.0022 7.3252
Pt 6.7055 0.0030 2.0085
Pt 5.5001 -0.0030 6.0254
```

- Energy above the lowest structure with this stoichiometry: 79 meV/atom
- Final energy: -29.365 eV per formula unit
- Energy of formation: -2.8 eV per formula unit

---

A plane-wave DFT calculation with PBE was carried out for an optimized crystal structure of LaAg4Pt.

The structure in extended XYZ format:
```
6
Lattice="0.0000 3.9221 3.9221 3.9221 0.0000 3.9221 3.9221 3.9221 0.0000" Properties=species:S:1:pos:R:3 pbc="T T T"
La 0.0000 0.0000 0.0000
Ag 2.9469 2.9469 2.9469
Ag 4.8972 4.8972 2.9469
Ag 4.8972 2.9469 4.8972
Ag 2.9469 4.8972 4.8972
Pt 5.8831 5.8831 5.8831
```

- Final energy: -23.775 eV per formula unit
- Energy of formation: -1.4 eV per formula unit

---

A plane-wave DFT calculation with PBE was carried out for an optimized crystal structure of La4AgPt3.

The structure in extended XYZ format:
```
8
Lattice="3.9980 0.0000 0.0000 0.0000 4.6967 0.0000 0.0000 0.0000 11.1731" Properties=species:S:1:pos:R:3 pbc="T T T"
La 0.0000 0.0000 0.0000
La 0.0000 2.3483 2.9219
La 1.9990 0.0000 5.3634
La 1.9990 2.3483 8.5156
Ag 0.0000 0.0000 7.8961
Pt 0.0000 2.3483 6.0067
Pt 1.9990 0.0000 2.4256
Pt 1.9990 2.3483 0.3530
```

- Final energy: -48.370 eV per formula unit
- Energy of formation: -7.7 eV per formula unit

---

A plane-wave DFT calculation with PBE was carried out for an optimized crystal structure of La2Ag2Pt.

The structure in extended XYZ format:
```
10
Lattice="7.8744 0.0000 0.0000 0.0000 7.8744 0.0000 0.0000 0.0000 4.5613" Properties=species:S:1:pos:R:3 pbc="T T T"
La 1.3733 2.5639 0.0000
La 2.5639 6.5011 0.0000
La 5.3105 1.3733 0.0000
La 6.5011 5.3105 0.0000
Ag 0.9933 4.9305 2.2807
Ag 2.9439 0.9933 2.2807
Ag 4.9305 6.8811 2.2807
Ag 6.8811 2.9439 2.2807
Pt 0.0000 0.0000 0.0000
Pt 3.9372 3.9372 0.0000
```

- Energy above the lowest structure with this stoichiometry: 96 meV/atom
- Final energy: -23.027 eV per formula unit
- Energy of formation: -1.4 eV per formula unit

---

A plane-wave DFT calculation with PBE was carried out for an optimized crystal structure of La3Ag2Pt3.

The structure in extended XYZ format:
```
16
Lattice="8.8928 0.0000 0.0000 -4.4464 7.7014 0.0000 0.0000 0.0000 5.8925" Properties=species:S:1:pos:R:3 pbc="T T T"
La -1.3758 2.3830 1.4731
La -3.0706 5.3184 4.4194
La 2.7516 0.0000 1.4731
La 1.3758 2.3830 4.4194
La 6.1412 0.0000 4.4194
La 3.0706 5.3184 1.4731
Ag 0.0000 5.1343 0.0000
Ag 0.0000 5.1343 2.9463
Ag 4.4464 2.5671 0.0000
Ag 4.4464 2.5671 2.9463
Pt -1.5904 2.7547 4.4194
Pt -2.8560 4.9467 1.4731
Pt 3.1808 0.0000 4.4194
Pt 1.5904 2.7547 1.4731
Pt 5.7120 0.0000 1.4731
Pt 2.8560 4.9467 4.4194
```

- Final energy: -45.159 eV per formula unit
- Energy of formation: -6.6 eV per formula unit